(1)
Below is a relaxed CaGa2Te4 crystal, with properties calculated at the PBE level.

Cell: 6.7914 11.5023 11.5327 Å, 90.00 90.00 90.00°
With the nearest neighbours (Å) after each atom.
Space group Cccm (No. 66)
Asymmetric unit:
1 Ca 0.0000 0.0000 0.2500 [4 per cell]  8 Te 3.38-3.44
2 Ga 0.0022 0.2626 0.0000 [8 per cell]  4 Te 2.66-2.69
3 Te 0.2283 0.0719 0.5000 [8 per cell]  2 Ga 2.66-2.69
4 Te 0.2500 0.2500 0.1794 [8 per cell]  2 Ga 2.67

Calculated values
The value obtained for the uncorrected formation energy is -0.6843 eV/atom. As for the volume: 225.2 Å³/f.u.

=====

(2)
Below is a relaxed Cs2Na2Ga crystal, with properties calculated at the PBE level.

Cell: 10.0461 10.0461 6.0013 Å, 90.00 90.00 90.00°
With the nearest neighbours (Å) after each atom.
Space group P4/mbm (No. 127)
Asymmetric unit:
1 Cs 0.1702 0.3298 0.0000 [4 per cell]  2 Ga 3.73, 2 Na 4.09
2 Na 0.1342 0.6342 0.5000 [4 per cell]  1 Na 3.81, 2 Cs 4.09
3 Ga 0.0000 0.0000 0.0000 [2 per cell]  4 Cs 3.73

Calculated values
As for the volume: 302.8 Å³/f.u. The value obtained for the energy above the lowest structure with this stoichiometry is 0.176 eV/atom. The calculation puts the density of states at the Fermi level at 8.44 states/eV/cell. The formation energy is 1.6 eV/f.u.

=====

(3)
Below is a relaxed MgBeRu2 crystal, with properties calculated at the PBE level.

Cell: 2.9043 2.9043 6.4174 Å, 90.00 90.00 90.00°
With the nearest neighbours (Å) after each atom.
Space group P4mm (No. 99)
Asymmetric unit:
1 Mg 0.0000 0.0000 0.0000 [1 per cell]  4 Be 2.71, 5 Ru 2.77-2.93, 4 Mg 2.90
2 Be 0.5000 0.5000 0.7239 [1 per cell]  4 Ru 2.36
3 Ru 0.0000 0.0000 0.5437 [1 per cell]  4 Be 2.36, 4 Ru 2.62
4 Ru 0.5000 0.5000 0.2893 [1 per cell]  8 Ru 2.62-2.90, 4 Mg 2.77, 1 Be 2.79

Calculated values
As for the volume: 54.1 Å³/f.u. The calculation puts the density of states at the Fermi level at 1.39 states/eV/cell. The formation energy is -0.3 eV/f.u.

=====

(4)
Below is a relaxed LaCuOs2 crystal, with properties calculated at the PBE level.

Cell: 6.5777 6.5777 6.5777 Å, 90.00 90.00 90.00°
With the nearest neighbours (Å) after each atom.
Space group F-43m (No. 216)
Asymmetric unit:
1 La 0.0000 0.0000 0.0000 [4 per cell]  4 Os 2.85, 4 Cu 2.85
2 Cu 0.2500 0.2500 0.7500 [4 per cell]  4 La 2.85, 4 Os 2.85
3 Os 0.0000 0.0000 0.5000 [4 per cell]  4 Os 2.85, 4 Cu 2.85
4 Os 0.2500 0.2500 0.2500 [4 per cell]  4 La 2.85, 4 Os 2.85

Calculated values
As for the volume: 71.1 Å³/f.u. The value obtained for the energy above the lowest structure with this stoichiometry is 0.339 eV/atom. The calculation puts the density of states at the Fermi level at 16.76 states/eV/cell. The formation energy is 2.4 eV/f.u.

=====

(5)
Below is a relaxed MgSiIr2 crystal, with properties calculated at the PBE level.

Cell: 2.9736 4.7755 8.4268 Å, 90.00 90.00 90.00°
With the nearest neighbours (Å) after each atom.
Space group Immm (No. 71)
Asymmetric unit:
1 Mg 0.0000 0.0000 0.0000 [2 per cell]  8 Ir 2.80-3.02, 4 Si 2.81, 2 Mg 2.97
2 Si 0.0000 0.0000 0.5000 [2 per cell]  4 Ir 2.37
3 Ir 0.0000 0.5000 0.2191 [4 per cell]  2 Si 2.37

Calculated values
The value obtained for the uncorrected formation energy is -0.3151 eV/atom. As for the volume: 59.8 Å³/f.u. The calculation puts the density of states at the Fermi level at 4.02 states/eV/cell.

=====

(6)
Below is a relaxed Pm4CN2 crystal, with properties calculated at the PBE level.

Cell: 3.6935 3.6935 36.9928 Å, 90.00 90.00 120.00°
With the nearest neighbours (Å) after each atom.
Space group R-3m (No. 166, hexagonal axes)
Asymmetric unit:
1 Pm 0.0000 0.0000 0.1169 [6 per cell]  3 N 2.38
2 Pm 0.0000 0.0000 0.3719 [6 per cell]  3 C 2.57, 3 N 2.81
3 C 0.0000 0.0000 0.0000 [3 per cell]  6 Pm 2.57
4 N 0.0000 0.0000 0.2451 [6 per cell]  3 Pm 2.38

Calculated values
The value obtained for the uncorrected formation energy is -0.8317 eV/atom. As for the volume: 145.7 Å³/f.u. The value obtained for the energy above the lowest structure with this stoichiometry is 0.000 eV/atom. The calculation puts the density of states at the Fermi level at 6.68 states/eV/cell.

=====

(7)
Below is a relaxed Pa3Ni3Ge4 crystal, with properties calculated at the PBE level.

Cell: 9.0077 9.0077 9.0077 Å, 90.00 90.00 90.00°
With the nearest neighbours (Å) after each atom.
Space group I-43d (No. 220)
Asymmetric unit:
1 Pa 0.0000 0.2500 0.3750 [12 per cell]  4 Ni 2.76
2 Ni 0.0000 0.2500 0.8750 [12 per cell]  4 Ge 2.51, 4 Pa 2.76
3 Ge 0.0824 0.0824 0.0824 [16 per cell]  3 Ni 2.51

Calculated values
As for the volume: 182.7 Å³/f.u. The calculation puts the density of states at the Fermi level at 50.84 states/eV/cell. The formation energy is -6.6 eV/f.u.

=====

(8)
Below is a relaxed La2IBr2 crystal, with properties calculated at the PBE level.

Cell: 7.0170 4.0476 12.3834 Å, 90.00 90.58 90.00°
With the nearest neighbours (Å) after each atom.
Space group C2/m (No. 12)
Asymmetric unit:
1 La 0.1703 0.0000 0.1882 [4 per cell]  3 Br 3.06, 3 I 3.30
2 I 0.0000 0.5000 0.0000 [2 per cell]  6 La 3.30
3 Br 0.1600 0.0000 0.6528 [4 per cell]  3 La 3.06

Calculated values
The value obtained for the uncorrected formation energy is -1.4222 eV/atom. As for the volume: 175.8 Å³/f.u. The value obtained for the energy above the lowest structure with this stoichiometry is 0.052 eV/atom. The calculation puts the density of states at the Fermi level at 8.54 states/eV/cell.

=====

(9)
Below is a relaxed Cu2W2N crystal, with properties calculated at the PBE level.

Cell: 5.5086 5.5086 4.4801 Å, 90.00 90.00 90.00°
With the nearest neighbours (Å) after each atom.
Space group P4/mbm (No. 127)
Asymmetric unit:
1 Cu 0.1519 0.3481 0.0000 [4 per cell]  1 Cu 2.37, 2 W 2.62
2 W 0.1747 0.6747 0.5000 [4 per cell]  2 N 2.03
3 N 0.0000 0.0000 0.5000 [2 per cell]  4 W 2.03

Calculated values
The value obtained for the uncorrected formation energy is 0.1550 eV/atom. As for the volume: 68.0 Å³/f.u. The value obtained for the energy above the lowest structure with this stoichiometry is 0.000 eV/atom. The calculation puts the density of states at the Fermi level at 4.93 states/eV/cell.

=====

(10)
Below is a relaxed Ta2AlCu crystal, with properties calculated at the PBE level.

Cell: 3.8614 3.8614 8.6562 Å, 90.00 90.00 90.00°
With the nearest neighbours (Å) after each atom.
Space group I-4m2 (No. 119)
Asymmetric unit:
1 Ta 0.0000 0.0000 0.0000 [2 per cell]  4 Cu 2.73, 4 Ta 2.90, 4 Al 2.90
2 Ta 0.0000 0.5000 0.2500 [2 per cell]  4 Al 2.73, 4 Ta 2.90, 4 Cu 2.90
3 Al 0.0000 0.5000 0.7500 [2 per cell]  8 Ta 2.73-2.90, 4 Cu 2.90
4 Cu 0.0000 0.0000 0.5000 [2 per cell]  8 Ta 2.73-2.90, 4 Al 2.90

Calculated values
As for the volume: 64.5 Å³/f.u. The calculation puts the density of states at the Fermi level at 4.37 states/eV/cell. The formation energy is 0.0 eV/f.u.

=====

(11)
Below is a relaxed LaTa2Pt2 crystal, with properties calculated at the PBE level.

Cell: 4.7076 4.7076 10.2493 Å, 90.00 90.00 90.00°
With the nearest neighbours (Å) after each atom.
Space group I4/mmm (No. 139)
Asymmetric unit:
1 La 0.0000 0.0000 0.0000 [2 per cell]  8 Pt 3.48, 10 Ta 3.61-3.72
2 Ta 0.0000 0.0000 0.3626 [4 per cell]  4 Pt 2.62, 1 Ta 2.82
3 Pt 0.0000 0.5000 0.2500 [4 per cell]  4 Ta 2.62

Calculated values
As for the volume: 113.6 Å³/f.u. The value obtained for the energy above the lowest structure with this stoichiometry is 0.182 eV/atom. The calculation puts the density of states at the Fermi level at 12.69 states/eV/cell. The formation energy is -1.5 eV/f.u.

=====

(12)
Below is a relaxed Tb2SiSe crystal, with properties calculated at the PBE level.

Cell: 8.2790 16.4499 7.1418 Å, 90.00 124.87 90.00°
With the nearest neighbours (Å) after each atom.
Space group C2/c (No. 15)
Asymmetric unit:
1 Tb 0.2365 0.0627 0.2416 [8 per cell]  3 Si 2.88-2.90, 3 Se 2.94-2.98
2 Tb 0.2459 0.1877 0.7420 [8 per cell]  3 Si 2.88-2.89, 3 Se 2.94-2.98
3 Si 0.0000 0.0652 0.7500 [4 per cell]  6 Tb 2.88-2.90
4 Si 0.0000 0.1901 0.2500 [4 per cell]  6 Tb 2.88-2.89
5 Se 0.0000 0.3149 0.7500 [4 per cell]  6 Tb 2.94-2.98
6 Se 0.0000 0.4398 0.2500 [4 per cell]  6 Tb 2.95-2.98

Calculated values
The value obtained for the uncorrected formation energy is -1.3198 eV/atom. As for the volume: 99.8 Å³/f.u. The value obtained for the energy above the lowest structure with this stoichiometry is 0.000 eV/atom. The calculation puts the density of states at the Fermi level at 7.30 states/eV/cell.

=====

(13)
Below is a relaxed PaSbRh crystal, with properties calculated at the PBE level.

Cell: 3.4530 3.4530 11.1481 Å, 90.00 90.00 90.00°
With the nearest neighbours (Å) after each atom.
Space group I4mm (No. 107)
Asymmetric unit:
1 Pa 0.0000 0.0000 0.0000 [2 per cell]  4 Rh 2.83
2 Sb 0.0000 0.0000 0.7086 [2 per cell]  4 Rh 3.04, 5 Pa 3.25-3.37
3 Rh 0.0000 0.0000 0.3717 [2 per cell]  4 Pa 2.83, 4 Sb 3.04

Calculated values
The value obtained for the uncorrected formation energy is -0.5140 eV/atom. As for the volume: 66.5 Å³/f.u. The calculation puts the density of states at the Fermi level at 3.17 states/eV/cell.

=====

(14)
Below is a relaxed CaS6I2 crystal, with properties calculated at the PBE level.

Cell: 4.5205 8.4855 8.5195 Å, 112.93 91.16 91.03°
With the nearest neighbours (Å) after each atom.
Space group P-1 (No. 2)
Asymmetric unit:
1 Ca 0.0000 0.0000 0.0000 [1 per cell]  2 S 2.98, 4 I 3.10
2 S 0.0806 0.7211 0.4884 [2 per cell]  2 S 2.06-2.09
3 S 0.0817 0.4871 0.7196 [2 per cell]  2 S 2.06-2.09
4 S 0.1393 0.3124 0.3125 [2 per cell]  2 S 2.09
5 I 0.4994 0.1509 0.8515 [2 per cell]  2 Ca 3.10

Calculated values
The value obtained for the uncorrected formation energy is -0.4681 eV/atom. As for the volume: 300.8 Å³/f.u. The calculation puts the density of states at the Fermi level at 0.00 states/eV/cell.

=====

(15)
Below is a relaxed Sr3NbSi crystal, with properties calculated at the PBE level.

Cell: 5.9922 5.9922 5.9922 Å, 90.00 90.00 90.00°
With the nearest neighbours (Å) after each atom.
Space group Pm-3m (No. 221)
Asymmetric unit:
1 Sr 0.0000 0.0000 0.5000 [3 per cell]  2 Si 3.00
2 Nb 0.5000 0.5000 0.5000 [1 per cell]  12 Sr 4.24
3 Si 0.0000 0.0000 0.0000 [1 per cell]  6 Sr 3.00

Calculated values
The value obtained for the uncorrected formation energy is 0.7002 eV/atom. As for the volume: 215.2 Å³/f.u. The value obtained for the energy above the lowest structure with this stoichiometry is 0.000 eV/atom. The calculation puts the density of states at the Fermi level at 4.28 states/eV/cell.

=====

(16)
Below is a relaxed Pa2CuRu crystal, with properties calculated at the PBE level.

Cell: 3.0380 3.0380 30.8999 Å, 90.00 90.00 120.00°
With the nearest neighbours (Å) after each atom.
Space group R-3m (No. 166, hexagonal axes)
Asymmetric unit:
1 Pa 0.0000 0.0000 0.0914 [6 per cell]  1 Cu 2.82, 3 Ru 2.91, 6 Pa 3.04
2 Cu 0.0000 0.0000 0.0000 [3 per cell]  2 Pa 2.82, 6 Cu 3.04
3 Ru 0.0000 0.0000 0.5000 [3 per cell]  6 Pa 2.91, 6 Ru 3.04

Calculated values
As for the volume: 82.3 Å³/f.u. The value obtained for the energy above the lowest structure with this stoichiometry is 0.460 eV/atom. The calculation puts the density of states at the Fermi level at 17.38 states/eV/cell. The formation energy is 1.4 eV/f.u.

=====

(17)
Below is a relaxed ZrTcSe2N crystal, with properties calculated at the PBE level.

Cell: 5.0470 5.0470 3.6994 Å, 90.00 90.00 90.00°
With the nearest neighbours (Å) after each atom.
Space group P4/mmm (No. 123)
Asymmetric unit:
1 Zr 0.0000 0.0000 0.0000 [1 per cell]  8 Se 3.13
2 Tc 0.5000 0.5000 0.5000 [1 per cell]  2 N 1.85
3 Se 0.0000 0.5000 0.5000 [2 per cell]  2 Tc 2.52
4 N 0.5000 0.5000 0.0000 [1 per cell]  2 Tc 1.85

Calculated values
The value obtained for the uncorrected formation energy is 0.0076 eV/atom. As for the volume: 94.2 Å³/f.u. The value obtained for the energy above the lowest structure with this stoichiometry is 0.000 eV/atom. The calculation puts the density of states at the Fermi level at 5.37 states/eV/cell.

=====

(18)
Below is a relaxed LaY2Re crystal, with properties calculated at the PBE level.

Cell: 9.0949 9.0949 5.9991 Å, 90.00 90.00 90.00°
With the nearest neighbours (Å) after each atom.
Space group I-42d (No. 122)
Asymmetric unit:
1 La 0.0000 0.0000 0.0000 [4 per cell]  2 Re 3.00
2 Y 0.1545 0.2500 0.6250 [8 per cell]  2 Re 2.78
3 Re 0.0000 0.0000 0.5000 [4 per cell]  4 Y 2.78, 2 La 3.00

Calculated values
As for the volume: 124.1 Å³/f.u. The value obtained for the energy above the lowest structure with this stoichiometry is 0.288 eV/atom. The calculation puts the density of states at the Fermi level at 14.04 states/eV/cell. The formation energy is 1.8 eV/f.u.

=====

(19)
Below is a relaxed CrSnOsC2 crystal, with properties calculated at the PBE level.

Cell: 3.8065 3.8065 5.4292 Å, 90.00 90.00 90.00°
With the nearest neighbours (Å) after each atom.
Space group P4/mmm (No. 123)
Asymmetric unit:
1 Cr 0.0000 0.0000 0.0000 [1 per cell]  4 C 1.90
2 Sn 0.0000 0.0000 0.5000 [1 per cell]  4 Os 2.69, 2 Cr 2.71
3 Os 0.5000 0.5000 0.5000 [1 per cell]  4 Sn 2.69
4 C 0.0000 0.5000 0.0000 [2 per cell]  2 Cr 1.90

Calculated values
As for the volume: 78.7 Å³/f.u. The calculation puts the density of states at the Fermi level at 5.02 states/eV/cell. The formation energy is 9.8 eV/f.u.

=====

(20)
Below is a relaxed PrYNiAg crystal, with properties calculated at the PBE level.

Cell: 7.2024 7.2024 7.2024 Å, 90.00 90.00 90.00°
With the nearest neighbours (Å) after each atom.
Space group F-43m (No. 216)
Asymmetric unit:
1 Pr 0.0000 0.0000 0.0000 [4 per cell]  4 Ni 3.12, 4 Ag 3.12
2 Y 0.0000 0.0000 0.5000 [4 per cell]  4 Ni 3.12, 4 Ag 3.12
3 Ni 0.2500 0.2500 0.7500 [4 per cell]  4 Pr 3.12, 4 Y 3.12
4 Ag 0.2500 0.2500 0.2500 [4 per cell]  4 Pr 3.12, 4 Y 3.12

Calculated values
As for the volume: 93.4 Å³/f.u. The calculation puts the density of states at the Fermi level at 9.91 states/eV/cell. The formation energy is -1.0 eV/f.u.